# 1
This record from Alexandria describes crystalline KBaYCl6 at its relaxed geometry. The functional is PBE-GGA.

Unit cell a=7.5490 b=7.5490 c=12.7481 alpha=90.00 beta=90.00 gamma=120.00
With the nearest neighbours (Å) after each atom.
Element x y z (fractional)
K  0.3333  0.6667  0.2500  6 Cl 3.14
K  0.6667  0.3333  0.7500  6 Cl 3.14
Ba  0.0000  0.0000  0.0000  6 Cl 3.12
Ba  0.0000  0.0000  0.5000  6 Cl 3.12
Y  0.3333  0.6667  0.7500  6 Cl 2.66
Y  0.6667  0.3333  0.2500  6 Cl 2.66
Cl  0.0483  0.3714  0.6311  1 Y 2.66
Cl  0.0483  0.6769  0.8689  1 Y 2.66
Cl  0.3231  0.3714  0.8689  1 Y 2.66
Cl  0.3231  0.9517  0.6311  1 Y 2.66
Cl  0.3714  0.0483  0.1311  1 Y 2.66
Cl  0.3714  0.3231  0.3689  1 Y 2.66
Cl  0.6286  0.6769  0.6311  1 Y 2.66
Cl  0.6286  0.9517  0.8689  1 Y 2.66
Cl  0.6769  0.0483  0.3689  1 Y 2.66
Cl  0.6769  0.6286  0.1311  1 Y 2.66
Cl  0.9517  0.3231  0.1311  1 Y 2.66
Cl  0.9517  0.6286  0.3689  1 Y 2.66

Calculated values
* uncorrected formation energy: -2.296 eV/atom
* SG: P-31c (163)
* size of the total moment: 0.00 μB per formula unit


# 2
This record from Alexandria describes crystalline Dy4CdAu5 at its relaxed geometry. The functional is PBE-GGA.

Unit cell a=3.5677 b=3.5677 c=17.7987 alpha=90.00 beta=90.00 gamma=90.00
With the nearest neighbours (Å) after each atom.
Element x y z (fractional)
Dy  0.0000  0.0000  0.1027  8 Au 3.09-3.12
Dy  0.0000  0.0000  0.3099  8 Au 3.01-3.16
Dy  0.0000  0.0000  0.6901  8 Au 3.01-3.16
Dy  0.0000  0.0000  0.8973  8 Au 3.09-3.12
Cd  0.0000  0.0000  0.5000  8 Au 3.06, 2 Dy 3.38
Au  0.5000  0.5000  0.0000  8 Dy 3.12
Au  0.5000  0.5000  0.2033  8 Dy 3.09-3.16
Au  0.5000  0.5000  0.4026  4 Dy 3.01, 4 Cd 3.06
Au  0.5000  0.5000  0.5974  4 Dy 3.01, 4 Cd 3.06
Au  0.5000  0.5000  0.7967  8 Dy 3.09-3.16

Calculated values
* SG: P4/mmm (123)
* size of the total moment: 0.00 μB per formula unit


# 3
This record from Alexandria describes crystalline Ba3AlCu at its relaxed geometry. The functional is PBE-GGA.

Unit cell a=6.1024 b=6.1024 c=6.1024 alpha=90.00 beta=90.00 gamma=90.00
With the nearest neighbours (Å) after each atom.
Element x y z (fractional)
Ba  0.0000  0.0000  0.5000  2 Cu 3.05
Ba  0.0000  0.5000  0.0000  2 Cu 3.05
Ba  0.5000  0.0000  0.0000  2 Cu 3.05
Al  0.5000  0.5000  0.5000  12 Ba 4.32
Cu  0.0000  0.0000  0.0000  6 Ba 3.05

Calculated values
* polymorph energy (0 for the lowest one): 0.000 eV per atom
* SG: Pm-3m (221)
* size of the total moment: 1.01 μB per formula unit


# 4
This record from Alexandria describes crystalline Zn2FeSb at its relaxed geometry. The functional is PBE-GGA.

Unit cell a=3.5699 b=3.5699 c=5.2144 alpha=90.00 beta=90.00 gamma=90.00
With the nearest neighbours (Å) after each atom.
Element x y z (fractional)
Zn  0.0000  0.0000  0.2279  1 Zn 2.38
Zn  0.0000  0.0000  0.7721  1 Zn 2.38
Fe  0.5000  0.5000  0.0000  2 Sb 2.61, 8 Zn 2.79
Sb  0.5000  0.5000  0.5000  2 Fe 2.61, 8 Zn 2.90

Calculated values
* uncorrected formation energy: 0.226 eV/atom
* SG: P4/mmm (123)
* size of the total moment: 1.93 μB per formula unit


# 5
This record from Alexandria describes crystalline HoTc2W at its relaxed geometry. The functional is PBE-GGA.

Unit cell a=3.2057 b=3.2057 c=6.7989 alpha=90.00 beta=90.00 gamma=90.00
With the nearest neighbours (Å) after each atom.
Element x y z (fractional)
Ho  0.0000  0.0000  0.0000  8 Tc 2.97, 4 Ho 3.21
Tc  0.5000  0.5000  0.2813  4 W 2.71, 4 Ho 2.97, 1 Tc 2.97
Tc  0.5000  0.5000  0.7187  4 W 2.71, 4 Ho 2.97, 1 Tc 2.97
W  0.0000  0.0000  0.5000  8 Tc 2.71

Calculated values
* SG: P4/mmm (123)
* size of the total moment: 0.00 μB per formula unit


# 6
This record from Alexandria describes crystalline Pa4PSe3 at its relaxed geometry. The functional is PBE-GGA.

Unit cell a=7.1237 b=7.1237 c=3.8429 alpha=90.00 beta=90.00 gamma=106.91
With the nearest neighbours (Å) after each atom.
Element x y z (fractional)
Pa  0.2360  0.2360  0.5000  2 P 2.77, 4 Se 2.86-2.95
Pa  0.2427  0.7573  0.0000  1 P 2.78, 5 Se 2.86-2.94
Pa  0.7573  0.2427  0.0000  1 P 2.78, 5 Se 2.86-2.94
Pa  0.7640  0.7640  0.5000  2 P 2.77, 4 Se 2.86-2.95
P  0.0000  0.0000  0.0000  6 Pa 2.77-2.78
Se  0.0000  0.5000  0.5000  6 Pa 2.86
Se  0.5000  0.0000  0.5000  6 Pa 2.86
Se  0.5000  0.5000  0.0000  6 Pa 2.94-2.95

Calculated values
* uncorrected formation energy: -1.254 eV/atom
* SG: Cmmm (65)
* size of the total moment: 0.00 μB per formula unit


# 7
This record from Alexandria describes crystalline LaGdPu2 at its relaxed geometry. The functional is PBE-GGA.

Unit cell a=3.4570 b=3.4570 c=9.9304 alpha=90.00 beta=90.00 gamma=90.00
With the nearest neighbours (Å) after each atom.
Element x y z (fractional)
La  0.0000  0.0000  0.0000  4 La 3.46, 8 Pu 3.51
Gd  0.0000  0.0000  0.5000  4 Gd 3.46, 8 Pu 3.46
Pu  0.5000  0.5000  0.2537  4 Pu 3.46, 4 Gd 3.46, 4 La 3.51
Pu  0.5000  0.5000  0.7463  4 Pu 3.46, 4 Gd 3.46, 4 La 3.51

Calculated values
* polymorph energy (0 for the lowest one): 0.000 eV per atom
* SG: P4/mmm (123)
* size of the total moment: 5.18 μB per formula unit


# 8
This record from Alexandria describes crystalline Ca3NiSn2 at its relaxed geometry. The functional is PBE-GGA.

Unit cell a=12.3375 b=4.5524 c=11.9080 alpha=90.00 beta=90.00 gamma=90.00
With the nearest neighbours (Å) after each atom.
Element x y z (fractional)
Ca  0.0550  0.2500  0.1207  1 Ni 3.07, 4 Sn 3.20-3.29
Ca  0.1137  0.7500  0.5587  3 Ni 3.02-3.20, 5 Sn 3.17-3.28
Ca  0.2173  0.2500  0.8004  4 Sn 3.14-3.29, 2 Ni 3.14
Ca  0.2827  0.7500  0.3004  4 Sn 3.14-3.29, 2 Ni 3.14
Ca  0.3863  0.2500  0.0587  3 Ni 3.02-3.20, 5 Sn 3.17-3.28
Ca  0.4450  0.7500  0.6207  1 Ni 3.07, 4 Sn 3.20-3.29
Ca  0.5550  0.2500  0.3793  1 Ni 3.07, 4 Sn 3.20-3.29
Ca  0.6137  0.7500  0.9413  3 Ni 3.02-3.20, 5 Sn 3.17-3.28
Ca  0.7173  0.2500  0.6996  4 Sn 3.14-3.29, 2 Ni 3.14
Ca  0.7827  0.7500  0.1996  4 Sn 3.14-3.29, 2 Ni 3.14
Ca  0.8863  0.2500  0.4413  3 Ni 3.02-3.20, 5 Sn 3.17-3.28
Ca  0.9450  0.7500  0.8793  1 Ni 3.07, 4 Sn 3.20-3.29
Ni  0.1208  0.2500  0.3694  3 Sn 2.62-2.65
Ni  0.3792  0.7500  0.8694  3 Sn 2.62-2.65
Ni  0.6208  0.2500  0.1306  3 Sn 2.62-2.65
Ni  0.8792  0.7500  0.6306  3 Sn 2.62-2.65
Sn  0.0284  0.7500  0.3077  2 Ni 2.65
Sn  0.2051  0.7500  0.9954  1 Ni 2.62
Sn  0.2949  0.2500  0.4954  1 Ni 2.62
Sn  0.4716  0.2500  0.8077  2 Ni 2.65
Sn  0.5284  0.7500  0.1923  2 Ni 2.65
Sn  0.7051  0.7500  0.5046  1 Ni 2.62
Sn  0.7949  0.2500  0.0046  1 Ni 2.62
Sn  0.9716  0.2500  0.6923  2 Ni 2.65

Calculated values
* SG: Pnma (62)
* size of the total moment: 0.00 μB per formula unit


# 9
This record from Alexandria describes crystalline PmDy2Rh4 at its relaxed geometry. The functional is PBE-GGA.

Unit cell a=4.7001 b=4.7001 c=6.7185 alpha=90.00 beta=90.00 gamma=90.00
With the nearest neighbours (Å) after each atom.
Element x y z (fractional)
Pm  0.0000  0.0000  0.0000  8 Rh 2.93
Dy  0.0000  0.0000  0.5000  8 Rh 2.85
Dy  0.5000  0.5000  0.0000  8 Rh 2.93
Rh  0.0000  0.5000  0.2596  4 Dy 2.85-2.93, 2 Pm 2.93
Rh  0.0000  0.5000  0.7404  4 Dy 2.85-2.93, 2 Pm 2.93
Rh  0.5000  0.0000  0.2596  4 Dy 2.85-2.93, 2 Pm 2.93
Rh  0.5000  0.0000  0.7404  4 Dy 2.85-2.93, 2 Pm 2.93

Calculated values
* SG: P4/mmm (123)
* size of the total moment: 0.00 μB per formula unit


# 10
This record from Alexandria describes crystalline SrEu2Sn at its relaxed geometry. The functional is PBE-GGA.

Unit cell a=5.8130 b=5.8130 c=5.8130 alpha=60.00 beta=60.00 gamma=60.00
With the nearest neighbours (Å) after each atom.
Element x y z (fractional)
Sr  0.0000  0.0000  0.0000  8 Eu 3.56
Eu  0.2500  0.2500  0.2500  4 Sn 3.56, 4 Sr 3.56
Eu  0.7500  0.7500  0.7500  4 Sn 3.56, 4 Sr 3.56
Sn  0.5000  0.5000  0.5000  8 Eu 3.56

Calculated values
* polymorph energy (0 for the lowest one): 0.107 eV per atom
* SG: Fm-3m (225)
* size of the total moment: 15.12 μB per formula unit


# 11
This record from Alexandria describes crystalline Ag2BSb at its relaxed geometry. The functional is PBE-GGA.

Unit cell a=4.7106 b=4.7106 c=4.7106 alpha=60.00 beta=60.00 gamma=60.00
With the nearest neighbours (Å) after each atom.
Element x y z (fractional)
Ag  0.2500  0.2500  0.2500  4 Sb 2.88, 4 B 2.88
Ag  0.7500  0.7500  0.7500  4 Sb 2.88, 4 B 2.88
B  0.0000  0.0000  0.0000  8 Ag 2.88
Sb  0.5000  0.5000  0.5000  8 Ag 2.88

Calculated values
* polymorph energy (0 for the lowest one): 0.158 eV per atom
* uncorrected formation energy: 0.963 eV/atom
* SG: Fm-3m (225)
* size of the total moment: 0.00 μB per formula unit


# 12
This record from Alexandria describes crystalline Pm2TiIn8 at its relaxed geometry. The functional is PBE-GGA.

Unit cell a=4.6389 b=4.6389 c=12.9567 alpha=90.00 beta=90.00 gamma=90.00
With the nearest neighbours (Å) after each atom.
Element x y z (fractional)
Pm  0.0000  0.0000  0.1836  12 In 3.28-3.34
Pm  0.0000  0.0000  0.8164  12 In 3.28-3.34
Ti  0.0000  0.0000  0.5000  8 In 2.87
In  0.0000  0.5000  0.0000  8 In 3.28-3.34, 4 Pm 3.32
In  0.0000  0.5000  0.3690  2 Ti 2.87
In  0.0000  0.5000  0.6310  2 Ti 2.87
In  0.5000  0.0000  0.0000  8 In 3.28-3.34, 4 Pm 3.32
In  0.5000  0.0000  0.3690  2 Ti 2.87
In  0.5000  0.0000  0.6310  2 Ti 2.87
In  0.5000  0.5000  0.1853  4 Pm 3.28, 8 In 3.32-3.34
In  0.5000  0.5000  0.8147  4 Pm 3.28, 8 In 3.32-3.34

Calculated values
* SG: P4/mmm (123)
* size of the total moment: 0.00 μB per formula unit


The records above give, respectively, density of states at the Fermi level values of 0.00 4.19 6.50 2.66 3.84 13.76 14.74 19.29 5.04 2.68 1.11 6.46 states/eV/cell.
The records above give, respectively, calculated total energy values of -4.58 -4.33 -2.50 -3.56 -9.59 -7.99 -11.72 -3.82 -6.59 -6.83 -3.16 -3.90 eV/atom.